# 1
The following is a DFT calculation (PBE-GGA) of an optimized crystal structure of SiTcOs2.

abc: 2.754 2.754 8.532
angles: 90.00 90.00 117.86
Each line ends with the local moment (μB).
Fractional coordinates of all 4 atoms:
Os1 0.000 0.000 0.997  0.47
Os2 0.500 0.500 0.272  0.12
Si1 0.000 0.000 0.499  0.00
Tc1 0.500 0.500 0.733  0.26

The calculation puts the uncorrected formation energy at 1.40 eV/f.u. As for the density of states at the Fermi level: 1.215 states/eV per atom. The calculation puts the magnetic moment at 0.886 μB/f.u.



# 2
The following is a DFT calculation (PBE-GGA) of an optimized crystal structure of Tm3Ga9Os2.

abc: 4.258 8.049 8.049
angles: 71.53 74.66 74.66
Fractional coordinates of all 14 atoms:
Tm1 0.000 0.000 0.000
Tm2 0.701 0.299 0.299
Tm3 0.299 0.701 0.701
Ga1 0.000 0.500 0.500
Ga2 0.652 0.983 0.713
Ga3 0.348 0.017 0.287
Ga4 0.652 0.713 0.983
Ga5 0.348 0.287 0.017
Ga6 0.867 0.849 0.418
Ga7 0.133 0.151 0.582
Ga8 0.867 0.418 0.849
Ga9 0.133 0.582 0.151
Os1 0.500 0.328 0.672
Os2 0.500 0.672 0.328

The formation energy is -6.41 eV/f.u. As for the density of states at the Fermi level: 0.361 states/eV per atom. The calculation puts the magnetic moment at 0.000 μB/f.u.